# 1
Here is a PBEsol-optimized structure of TlRu3S from the Alexandria database. Energies are from SCAN.

N(E_F)	2.83	states/eV/f.u.
magnetization	0.0	Bohr magnetons per cell
ρ	11.1	g cm⁻³
electronic total energy	-36.794	eV per atom
uncorrected formation energy	2.496	eV per formula unit

a = 4.3181 Å, b = 4.3181 Å, c = 4.3181 Å
α = 90.00°, β = 90.00°, γ = 90.00°
Element x y z (fractional)
1 Ru 0.0000 0.5000 0.0000
2 Ru 0.0000 0.0000 0.5000
3 Ru 0.5000 0.0000 0.0000
4 Tl 0.5000 0.5000 0.5000
5 S 0.0000 0.0000 0.0000

---

# 2
Here is a PBEsol-optimized structure of NaSb2TeI from the Alexandria database. Energies are from SCAN.

N(E_F)	3.35	states/eV/f.u.
magnetization	0.0	Bohr magnetons per cell
ρ	4.7	g cm⁻³
energy above the lowest structure with this stoichiometry	0	meV per atom
electronic total energy	-29.981	eV per atom
uncorrected formation energy	2.825	eV per formula unit

a = 5.3812 Å, b = 5.8480 Å, c = 5.8480 Å
α = 90.00°, β = 90.00°, γ = 90.00°
Element x y z (fractional)
1 I 0.0000 0.0000 0.0000
2 Sb 0.0000 0.0000 0.5000
3 Sb 0.0000 0.5000 0.0000
4 Te 0.5000 0.5000 0.5000
5 Na 0.5000 0.0000 0.0000

---

Among the records above, which one has the highest uncorrected formation energy?
NaSb2TeI